# 1
A plane-wave DFT calculation with PBE-GGA was carried out for a relaxed Ac12Ir6Ru crystal.

total moment: 0.00 μB per formula unit
final energy: -6.399 eV per atom
DFT formation energy: -50.0 kJ per mole of atoms

a = 8.7941 Å, b = 8.7941 Å, c = 8.7941 Å
α = 99.33°, β = 99.33°, γ = 99.33°
Fractional coordinates of all 19 atoms:
Ac1 0.0480 0.6789 0.9160
Ac2 0.0840 0.9520 0.3211
Ac3 0.1781 0.4157 0.5831
Ac4 0.3211 0.0840 0.9520
Ac5 0.4157 0.5831 0.1781
Ac6 0.4169 0.8219 0.5843
Ac7 0.5831 0.1781 0.4157
Ac8 0.5843 0.4169 0.8219
Ac9 0.6789 0.9160 0.0480
Ac10 0.8219 0.5843 0.4169
Ac11 0.9160 0.0480 0.6789
Ac12 0.9520 0.3211 0.0840
Ir1 0.1332 0.6164 0.3102
Ir2 0.3102 0.1332 0.6164
Ir3 0.3836 0.6898 0.8668
Ir4 0.6164 0.3102 0.1332
Ir5 0.6898 0.8668 0.3836
Ir6 0.8668 0.3836 0.6898
Ru1 0.0000 0.0000 0.0000


# 2
A plane-wave DFT calculation with PBE-GGA was carried out for a relaxed ScTc2Ir2 crystal.

total moment: 0.00 μB per formula unit
final energy: -9.169 eV per atom
DFT formation energy: -20.5 kJ per mole of atoms
excess energy over the best structure of this formula in the dataset: 31 meV/atom

a = 7.6172 Å, b = 7.6172 Å, c = 2.7772 Å
α = 90.00°, β = 90.00°, γ = 90.00°
Fractional coordinates of all 10 atoms:
Sc1 0.0000 0.0000 0.0000
Sc2 0.5000 0.5000 0.0000
Tc1 0.1739 0.3261 0.5000
Tc2 0.3261 0.8261 0.5000
Tc3 0.6739 0.1739 0.5000
Tc4 0.8261 0.6739 0.5000
Ir1 0.1230 0.6230 0.0000
Ir2 0.3770 0.1230 0.0000
Ir3 0.6230 0.8770 0.0000
Ir4 0.8770 0.3770 0.0000


# 3
A plane-wave DFT calculation with PBE-GGA was carried out for a relaxed Y8Tl2Ir crystal.

total moment: 0.00 μB per formula unit
final energy: -6.256 eV per atom
DFT formation energy: -30.8 kJ per mole of atoms
excess energy over the best structure of this formula in the dataset: 0 meV/atom

a = 9.8984 Å, b = 9.8984 Å, c = 6.7181 Å
α = 105.12°, β = 105.12°, γ = 29.87°
Fractional coordinates of all 11 atoms:
Y1 0.0207 0.0207 0.2870
Y2 0.2121 0.2121 0.8201
Y3 0.3535 0.3535 0.5145
Y4 0.4124 0.4124 0.0558
Y5 0.5876 0.5876 0.9442
Y6 0.6464 0.6464 0.4855
Y7 0.7879 0.7879 0.1799
Y8 0.9793 0.9793 0.7130
Tl1 0.1819 0.1819 0.2497
Tl2 0.8181 0.8181 0.7503
Ir1 0.5000 0.5000 0.5000


# 4
A plane-wave DFT calculation with PBE-GGA was carried out for a relaxed NaTiCd2 crystal.

total moment: 1.09 μB per formula unit
final energy: -2.677 eV per atom
DFT formation energy: 8.1 kJ per mole of atoms
excess energy over the best structure of this formula in the dataset: 47 meV/atom

a = 5.2232 Å, b = 5.2232 Å, c = 3.0877 Å
α = 90.00°, β = 90.00°, γ = 90.00°
Fractional coordinates of all 4 atoms:
Na1 0.0000 0.0000 0.0000
Ti1 0.5000 0.5000 0.0000
Cd1 0.0000 0.5000 0.5000
Cd2 0.5000 0.0000 0.5000